! HPt2Rh GGA-PBE optimized geometry; values from VASP
&SYSTEM
  ibrav = 0, nat = 8, ntyp = 3
/
ATOMIC_SPECIES
H 1.01 H.upf
Pt 195.08 Pt.upf
Rh 102.91 Rh.upf
CELL_PARAMETERS angstrom
-3.0630 3.0630 2.6866
3.0630 -3.0630 2.6866
3.0630 3.0630 -2.6866
ATOMIC_POSITIONS crystal
H 0.0000 0.0000 0.0000
H 0.7500 0.2500 0.5000
Pt 0.0258 0.1250 0.4008
Pt 0.3750 0.9742 0.0992
Pt 0.7242 0.6250 0.5992
Pt 0.8750 0.2758 0.9008
Rh 0.2500 0.7500 0.5000
Rh 0.5000 0.5000 0.0000
! Magnetic moment = 0.0 μB per formula unit
! Distance to the lowest polymorph of the same formula = 119 meV/atom
! E_tot = -0.40334 Ry/atom
! Calculated volume = 50.4 Å³/f.u.
! Symmetry = I-42d, No. 122

! H3PtRh3 GGA-PBE optimized geometry; values from VASP
&SYSTEM
  ibrav = 0, nat = 14, ntyp = 3
/
ATOMIC_SPECIES
H 1.01 H.upf
Pt 195.08 Pt.upf
Rh 102.91 Rh.upf
CELL_PARAMETERS angstrom
5.1828 0.0000 0.0000
0.0000 5.1828 0.0000
0.0000 0.0000 5.1828
ATOMIC_POSITIONS crystal
H 0.0000 0.2500 0.5000
H 0.0000 0.7500 0.5000
H 0.2500 0.5000 0.0000
H 0.5000 0.0000 0.2500
H 0.5000 0.0000 0.7500
H 0.7500 0.5000 0.0000
Pt 0.0000 0.0000 0.0000
Pt 0.5000 0.5000 0.5000
Rh 0.0000 0.5000 0.2500
Rh 0.0000 0.5000 0.7500
Rh 0.2500 0.0000 0.5000
Rh 0.5000 0.2500 0.0000
Rh 0.5000 0.7500 0.0000
Rh 0.7500 0.0000 0.5000
! Magnetic moment = 0.0 μB per formula unit
! E_tot = -0.38738 Ry/atom
! Calculated volume = 69.6 Å³/f.u.
! Symmetry = Pm-3n, No. 223

! HPtRh3 GGA-PBE optimized geometry; values from VASP
&SYSTEM
  ibrav = 0, nat = 5, ntyp = 3
/
ATOMIC_SPECIES
H 1.01 H.upf
Pt 195.08 Pt.upf
Rh 102.91 Rh.upf
CELL_PARAMETERS angstrom
3.9283 0.0000 0.0000
0.0000 3.9283 0.0000
0.0000 0.0000 3.9283
ATOMIC_POSITIONS crystal
H 0.0000 0.0000 0.0000
Pt 0.5000 0.5000 0.5000
Rh 0.0000 0.0000 0.5000
Rh 0.0000 0.5000 0.0000
Rh 0.5000 0.0000 0.0000
! Magnetic moment = 0.0 μB per formula unit
! Distance to the lowest polymorph of the same formula = 0 meV/atom
! E_tot = -0.46162 Ry/atom
! Calculated volume = 60.6 Å³/f.u.
! Symmetry = Pm-3m, No. 221

! HRuPt2Rh GGA-PBE optimized geometry; values from VASP
&SYSTEM
  ibrav = 0, nat = 5, ntyp = 4
/
ATOMIC_SPECIES
H 1.01 H.upf
Ru 101.07 Ru.upf
Pt 195.08 Pt.upf
Rh 102.91 Rh.upf
CELL_PARAMETERS angstrom
4.0020 0.0000 0.0000
0.0000 4.0020 0.0000
0.0000 0.0000 3.8847
ATOMIC_POSITIONS crystal
H 0.0000 0.0000 0.0000
Ru 0.0000 0.0000 0.5000
Pt 0.0000 0.5000 0.0000
Pt 0.5000 0.0000 0.0000
Rh 0.5000 0.5000 0.5000
! Magnetic moment = 0.0 μB per formula unit
! Distance to the lowest polymorph of the same formula = 0 meV/atom
! E_tot = -0.46047 Ry/atom
! Calculated volume = 62.2 Å³/f.u.
! Symmetry = P4/mmm, No. 123

! HRuPtRh2 GGA-PBE optimized geometry; values from VASP
&SYSTEM
  ibrav = 0, nat = 5, ntyp = 4
/
ATOMIC_SPECIES
H 1.01 H.upf
Ru 101.07 Ru.upf
Pt 195.08 Pt.upf
Rh 102.91 Rh.upf
CELL_PARAMETERS angstrom
3.9210 0.0000 0.0000
0.0000 3.9210 0.0000
0.0000 0.0000 3.9429
ATOMIC_POSITIONS crystal
H 0.0000 0.0000 0.0000
Ru 0.5000 0.5000 0.5000
Pt 0.0000 0.0000 0.5000
Rh 0.0000 0.5000 0.0000
Rh 0.5000 0.0000 0.0000
! Magnetic moment = 0.0 μB per formula unit
! Distance to the lowest polymorph of the same formula = 81 meV/atom
! E_tot = -0.48082 Ry/atom
! Calculated volume = 60.6 Å³/f.u.
! Symmetry = P4/mmm, No. 123

! HRuPtRh2 GGA-PBE optimized geometry; values from VASP
&SYSTEM
  ibrav = 0, nat = 5, ntyp = 4
/
ATOMIC_SPECIES
H 1.01 H.upf
Ru 101.07 Ru.upf
Pt 195.08 Pt.upf
Rh 102.91 Rh.upf
CELL_PARAMETERS angstrom
3.9216 0.0000 0.0000
0.0000 3.9216 0.0000
0.0000 0.0000 3.9152
ATOMIC_POSITIONS crystal
H 0.0000 0.0000 0.0000
Ru 0.0000 0.0000 0.5000
Pt 0.5000 0.5000 0.5000
Rh 0.0000 0.5000 0.0000
Rh 0.5000 0.0000 0.0000
! Magnetic moment = 0.0 μB per formula unit
! Distance to the lowest polymorph of the same formula = 0 meV/atom
! E_tot = -0.48678 Ry/atom
! Calculated volume = 60.2 Å³/f.u.
! Symmetry = P4/mmm, No. 123

! HRuPt2Rh GGA-PBE optimized geometry; values from VASP
&SYSTEM
  ibrav = 0, nat = 5, ntyp = 4
/
ATOMIC_SPECIES
H 1.01 H.upf
Ru 101.07 Ru.upf
Pt 195.08 Pt.upf
Rh 102.91 Rh.upf
CELL_PARAMETERS angstrom
3.9917 0.0000 0.0000
0.0000 3.9917 0.0000
0.0000 0.0000 3.9134
ATOMIC_POSITIONS crystal
H 0.0000 0.0000 0.0000
Ru 0.5000 0.5000 0.5000
Pt 0.0000 0.5000 0.0000
Pt 0.5000 0.0000 0.0000
Rh 0.0000 0.0000 0.5000
! Magnetic moment = 0.0 μB per formula unit
! Distance to the lowest polymorph of the same formula = 27 meV/atom
! E_tot = -0.45849 Ry/atom
! Calculated volume = 62.4 Å³/f.u.
! Symmetry = P4/mmm, No. 123

! SbHPt2Rh GGA-PBE optimized geometry; values from VASP
&SYSTEM
  ibrav = 0, nat = 5, ntyp = 4
/
ATOMIC_SPECIES
Sb 121.76 Sb.upf
H 1.01 H.upf
Pt 195.08 Pt.upf
Rh 102.91 Rh.upf
CELL_PARAMETERS angstrom
4.2308 0.0000 0.0000
0.0000 4.2308 0.0000
0.0000 0.0000 3.8967
ATOMIC_POSITIONS crystal
Sb 0.0000 0.0000 0.0000
H 0.5000 0.5000 0.5000
Pt 0.0000 0.5000 0.5000
Pt 0.5000 0.0000 0.5000
Rh 0.5000 0.5000 0.0000
! Magnetic moment = 0.0 μB per formula unit
! E_tot = -0.40028 Ry/atom
! Calculated volume = 69.7 Å³/f.u.
! Symmetry = P4/mmm, No. 123

! ScHPt2Rh GGA-PBE optimized geometry; values from VASP
&SYSTEM
  ibrav = 0, nat = 5, ntyp = 4
/
ATOMIC_SPECIES
Sc 44.96 Sc.upf
H 1.01 H.upf
Pt 195.08 Pt.upf
Rh 102.91 Rh.upf
CELL_PARAMETERS angstrom
5.0397 0.0000 0.0000
0.0000 5.0397 0.0000
0.0000 0.0000 3.1394
ATOMIC_POSITIONS crystal
Sc 0.0000 0.0000 0.0000
H 0.5000 0.5000 0.0000
Pt 0.0000 0.5000 0.5000
Pt 0.5000 0.0000 0.5000
Rh 0.5000 0.5000 0.5000
! Magnetic moment = 0.0 μB per formula unit
! Distance to the lowest polymorph of the same formula = 723 meV/atom
! E_tot = -0.42778 Ry/atom
! Calculated volume = 79.7 Å³/f.u.
! Symmetry = P4/mmm, No. 123

! ScHPt2Rh GGA-PBE optimized geometry; values from VASP
&SYSTEM
  ibrav = 0, nat = 5, ntyp = 4
/
ATOMIC_SPECIES
Sc 44.96 Sc.upf
H 1.01 H.upf
Pt 195.08 Pt.upf
Rh 102.91 Rh.upf
CELL_PARAMETERS angstrom
3.9358 0.0000 0.0000
0.0000 3.9358 0.0000
0.0000 0.0000 4.2516
ATOMIC_POSITIONS crystal
Sc 0.0000 0.0000 0.0000
H 0.0000 0.0000 0.5000
Pt 0.0000 0.5000 0.5000
Pt 0.5000 0.0000 0.5000
Rh 0.5000 0.5000 0.0000
! Magnetic moment = 0.0 μB per formula unit
! Distance to the lowest polymorph of the same formula = 62 meV/atom
! E_tot = -0.47633 Ry/atom
! Calculated volume = 65.9 Å³/f.u.
! Symmetry = P4/mmm, No. 123

! ScH6Pt2Rh GGA-PBE optimized geometry; values from VASP
&SYSTEM
  ibrav = 0, nat = 10, ntyp = 4
/
ATOMIC_SPECIES
Sc 44.96 Sc.upf
H 1.01 H.upf
Pt 195.08 Pt.upf
Rh 102.91 Rh.upf
CELL_PARAMETERS angstrom
4.5678 0.0000 0.0000
2.0094 4.4087 0.0000
1.7352 1.4668 4.6576
ATOMIC_POSITIONS crystal
Sc 0.0000 0.0000 0.0000
H 0.9997 0.5474 0.9572
H 0.0934 0.8277 0.5825
H 0.2596 0.2948 0.6160
H 0.4872 0.0869 0.9913
H 0.5417 0.7113 0.8375
H 0.7981 0.3835 0.4979
Pt 0.2490 0.1182 0.3652
Pt 0.6239 0.5498 0.1782
Rh 0.3985 0.4669 0.7629
! Magnetic moment = 0.0 μB per formula unit
! E_tot = -0.35742 Ry/atom
! Calculated volume = 93.8 Å³/f.u.
! Symmetry = P1, No. 1

! ScHPtRh2 GGA-PBE optimized geometry; values from VASP
&SYSTEM
  ibrav = 0, nat = 5, ntyp = 4
/
ATOMIC_SPECIES
Sc 44.96 Sc.upf
H 1.01 H.upf
Pt 195.08 Pt.upf
Rh 102.91 Rh.upf
CELL_PARAMETERS angstrom
4.0221 0.0000 0.0000
0.0000 4.0221 0.0000
0.0000 0.0000 3.9693
ATOMIC_POSITIONS crystal
Sc 0.0000 0.0000 0.0000
H 0.5000 0.5000 0.5000
Pt 0.5000 0.5000 0.0000
Rh 0.0000 0.5000 0.5000
Rh 0.5000 0.0000 0.5000
! Magnetic moment = 0.0 μB per formula unit
! Distance to the lowest polymorph of the same formula = 12 meV/atom
! E_tot = -0.49532 Ry/atom
! Calculated volume = 64.2 Å³/f.u.
! Symmetry = P4/mmm, No. 123

! ScHPt2Rh GGA-PBE optimized geometry; values from VASP
&SYSTEM
  ibrav = 0, nat = 5, ntyp = 4
/
ATOMIC_SPECIES
Sc 44.96 Sc.upf
H 1.01 H.upf
Pt 195.08 Pt.upf
Rh 102.91 Rh.upf
CELL_PARAMETERS angstrom
4.0183 0.0000 0.0000
0.0000 4.0183 0.0000
0.0000 0.0000 4.0770
ATOMIC_POSITIONS crystal
Sc 0.0000 0.0000 0.0000
H 0.5000 0.5000 0.5000
Pt 0.0000 0.5000 0.5000
Pt 0.5000 0.0000 0.5000
Rh 0.5000 0.5000 0.0000
! Magnetic moment = 0.0 μB per formula unit
! Distance to the lowest polymorph of the same formula = 0 meV/atom
! E_tot = -0.48092 Ry/atom
! Calculated volume = 65.8 Å³/f.u.
! Symmetry = P4/mmm, No. 123